Material: RbPuWO6
Method: DFT, PBE+U
State: relaxed

Its uncorrected energy is -8.134 eV/atom.

a b c (Å): 7.5137 7.7369 10.8737
angles (deg): 90.00 90.00 90.00
Space group Imma (No. 74)
One atom of each set of equivalent atoms:
Rb1 0.0000 0.2500 0.1227 (multiplicity 4)
Pu1 0.0000 0.0000 0.5000 (multiplicity 4)
W1 0.2500 0.2500 0.7500 (multiplicity 4)
O1 0.0000 0.2500 0.4255 (multiplicity 4)
O2 0.0000 0.2500 0.7991 (multiplicity 4)
O3 0.2032 0.0711 0.6290 (multiplicity 16)